Entry 1:
CaGaIrO6 | the Alexandria database | PBE-GGA | optimized geometry; ΔE_f (raw) = -1.445 eV/atom; SG = No. 163
1.0
5.1801 0.0000 0.0000
-2.5901 4.4861 0.0000
0.0000 0.0000 10.0738
Ca Ga Ir O
2 2 2 12
Direct
0.0000 0.0000 0.0000 Ca
0.0000 0.0000 0.5000 Ca
0.3333 0.6667 0.2500 Ga
0.6667 0.3333 0.7500 Ga
0.3333 0.6667 0.7500 Ir
0.6667 0.3333 0.2500 Ir
0.0112 0.3707 0.6449 O
0.0112 0.6405 0.8551 O
0.3595 0.3707 0.8551 O
0.3595 0.9888 0.6449 O
0.3707 0.0112 0.1449 O
0.3707 0.3595 0.3551 O
0.6293 0.6405 0.6449 O
0.6293 0.9888 0.8551 O
0.6405 0.0112 0.3551 O
0.6405 0.6293 0.1449 O
0.9888 0.3595 0.1449 O
0.9888 0.6293 0.3551 O

***

Entry 2:
Sm7YHo3 | the Alexandria database | PBE-GGA | optimized geometry; ΔE_f = 0.123 eV per atom; SG = No. 10; ΔE to the lowest computed polymorph = 0.0 kJ per mole of atoms
1.0
7.0734 0.0000 0.0000
0.0000 5.6122 0.0000
-3.4661 0.0000 9.3352
Sm Y Ho
7 1 3
Direct
0.0000 0.0000 0.0000 Sm
0.1475 0.5000 0.2918 Sm
0.3211 0.5000 0.6409 Sm
0.4184 0.0000 0.8297 Sm
0.5816 0.0000 0.1703 Sm
0.6789 0.5000 0.3591 Sm
0.8525 0.5000 0.7082 Sm
0.0000 0.0000 0.5000 Y
0.2793 0.5000 0.9985 Ho
0.5000 0.0000 0.5000 Ho
0.7207 0.5000 0.0015 Ho

***

Entry 3:
Ba2Hg16Au | the Alexandria database | PBE-GGA | optimized geometry; ΔE_f = -0.180 eV per atom; SG = No. 160
1.0
5.0943 2.9412 6.1017
-5.0943 2.9412 6.1017
0.0000 -5.8824 6.1017
Ba Hg Au
2 16 1
Direct
0.0000 0.0000 0.0000 Ba
0.4111 0.4111 0.4111 Ba
0.1055 0.1055 0.5374 Hg
0.1055 0.5374 0.1055 Hg
0.2330 0.7017 0.7017 Hg
0.2931 0.2931 0.8870 Hg
0.2931 0.8870 0.2931 Hg
0.4163 0.7038 0.9960 Hg
0.4163 0.9960 0.7038 Hg
0.5374 0.1055 0.1055 Hg
0.7017 0.2330 0.7017 Hg
0.7017 0.7017 0.2330 Hg
0.7038 0.4163 0.9960 Hg
0.7038 0.9960 0.4163 Hg
0.8011 0.8011 0.8011 Hg
0.8870 0.2931 0.2931 Hg
0.9960 0.4163 0.7038 Hg
0.9960 0.7038 0.4163 Hg
0.6018 0.6018 0.6018 Au

***

Entry 4:
Li2LaCu | the Alexandria database | PBE-GGA | optimized geometry; ΔE_f = 0.118 eV per atom; SG = No. 122; ΔE to the lowest computed polymorph = 13.9 kJ per mole of atoms
1.0
-2.0701 2.0701 10.6270
2.0701 -2.0701 10.6270
2.0701 2.0701 -10.6270
Li La Cu
4 2 2
Direct
0.0533 0.6250 0.9283 Li
0.3750 0.3033 0.4283 Li
0.6967 0.1250 0.0717 Li
0.8750 0.9467 0.5717 Li
0.2500 0.7500 0.5000 La
0.5000 0.5000 0.0000 La
0.0000 0.0000 0.0000 Cu
0.7500 0.2500 0.5000 Cu

***

Entry 5:
Y12Tl3O5 | the Alexandria database | PBE-GGA | optimized geometry; ΔE_f (raw) = -1.509 eV/atom; SG = No. 230
1.0
-7.8316 7.8316 7.8316
7.8316 -7.8316 7.8316
7.8316 7.8316 -7.8316
Y Tl O
48 12 20
Direct
0.0085 0.1968 0.1070 Y
0.0085 0.3117 0.9015 Y
0.0898 0.6968 0.6883 Y
0.0898 0.8930 0.4015 Y
0.0985 0.6070 0.4102 Y
0.0985 0.9915 0.6883 Y
0.1070 0.0085 0.1968 Y
0.1070 0.5985 0.9102 Y
0.1883 0.1968 0.5898 Y
0.1883 0.4915 0.5985 Y
0.1968 0.1070 0.0085 Y
0.1968 0.5898 0.1883 Y
0.3032 0.3117 0.9102 Y
0.3032 0.4915 0.3930 Y
0.3117 0.9015 0.0085 Y
0.3117 0.9102 0.3032 Y
0.3930 0.3032 0.4915 Y
0.3930 0.5898 0.9015 Y
0.4015 0.0898 0.8930 Y
0.4015 0.8117 0.5085 Y
0.4102 0.0985 0.6070 Y
0.4102 0.8117 0.8032 Y
0.4915 0.3930 0.3032 Y
0.4915 0.5985 0.1883 Y
0.5085 0.4015 0.8117 Y
0.5085 0.6070 0.6968 Y
0.5898 0.1883 0.1968 Y
0.5898 0.9015 0.3930 Y
0.5985 0.1883 0.4915 Y
0.5985 0.9102 0.1070 Y
0.6070 0.4102 0.0985 Y
0.6070 0.6968 0.5085 Y
0.6883 0.0898 0.6968 Y
0.6883 0.0985 0.9915 Y
0.6968 0.5085 0.6070 Y
0.6968 0.6883 0.0898 Y
0.8032 0.4102 0.8117 Y
0.8032 0.8930 0.9915 Y
0.8117 0.5085 0.4015 Y
0.8117 0.8032 0.4102 Y
0.8930 0.4015 0.0898 Y
0.8930 0.9915 0.8032 Y
0.9015 0.0085 0.3117 Y
0.9015 0.3930 0.5898 Y
0.9102 0.1070 0.5985 Y
0.9102 0.3032 0.3117 Y
0.9915 0.6883 0.0985 Y
0.9915 0.8032 0.8930 Y
0.1250 0.2500 0.3750 Tl
0.1250 0.3750 0.7500 Tl
0.2500 0.3750 0.1250 Tl
0.2500 0.8750 0.6250 Tl
0.3750 0.1250 0.2500 Tl
0.3750 0.7500 0.1250 Tl
0.6250 0.2500 0.8750 Tl
0.6250 0.8750 0.7500 Tl
0.7500 0.1250 0.3750 Tl
0.7500 0.6250 0.8750 Tl
0.8750 0.6250 0.2500 Tl
0.8750 0.7500 0.6250 Tl
0.0000 0.0000 0.0000 O
0.0000 0.0000 0.5000 O
0.0000 0.5000 0.0000 O
0.0000 0.5000 0.5000 O
0.1250 0.7500 0.8750 O
0.1250 0.8750 0.2500 O
0.2500 0.1250 0.8750 O
0.2500 0.6250 0.3750 O
0.3750 0.2500 0.6250 O
0.3750 0.6250 0.7500 O
0.5000 0.0000 0.0000 O
0.5000 0.0000 0.5000 O
0.5000 0.5000 0.0000 O
0.5000 0.5000 0.5000 O
0.6250 0.3750 0.2500 O
0.6250 0.7500 0.3750 O
0.7500 0.3750 0.6250 O
0.7500 0.8750 0.1250 O
0.8750 0.1250 0.7500 O
0.8750 0.2500 0.1250 O

***

Entry 6:
YZrBe4 | the Alexandria database | PBE-GGA | optimized geometry; ΔE_f = 0.045 eV per atom; SG = No. 216
1.0
0.0000 3.4797 3.4797
3.4797 0.0000 3.4797
3.4797 3.4797 0.0000
Y Zr Be
1 1 4
Direct
0.0000 0.0000 0.0000 Y
0.7500 0.7500 0.7500 Zr
0.3796 0.3796 0.3796 Be
0.3796 0.3796 0.8611 Be
0.3796 0.8611 0.3796 Be
0.8611 0.3796 0.3796 Be

***

Entry 7:
In3TeH | the Alexandria database | PBE-GGA | optimized geometry; electronic total energy = -14.11 eV per cell; SG = No. 221
1.0
4.9944 0.0000 0.0000
0.0000 4.9944 0.0000
0.0000 0.0000 4.9944
In Te H
3 1 1
Direct
0.0000 0.0000 0.5000 In
0.0000 0.5000 0.0000 In
0.5000 0.0000 0.0000 In
0.5000 0.5000 0.5000 Te
0.0000 0.0000 0.0000 H

***

Entry 8:
Tm3Sc2Cd2 | the Alexandria database | PBE-GGA | optimized geometry; ΔE_f = -0.089 eV per atom; SG = No. 65
1.0
2.4442 -10.9271 0.0000
2.4442 10.9271 0.0000
0.0000 0.0000 3.3682
Tm Sc Cd
3 2 2
Direct
0.0000 0.0000 0.0000 Tm
0.1518 0.8482 0.0000 Tm
0.8482 0.1518 0.0000 Tm
0.2863 0.7137 0.5000 Sc
0.7137 0.2863 0.5000 Sc
0.4281 0.5719 0.5000 Cd
0.5719 0.4281 0.5000 Cd

***

Entry 9:
NiRu2Rh | the Alexandria database | PBE-GGA | optimized geometry; ΔE_f = 0.284 eV per atom; SG = No. 44; ΔE to the lowest computed polymorph = 20.7 kJ per mole of atoms
1.0
-1.3939 2.1781 4.4358
1.3939 -2.1781 4.4358
1.3939 2.1781 -4.4358
Ni Ru Rh
1 2 1
Direct
0.0000 0.0000 0.0000 Ni
0.5076 0.5076 0.0000 Ru
0.7744 0.2744 0.5000 Ru
0.2310 0.7310 0.5000 Rh

***

Entry 10:
SmCuBr | the Alexandria database | PBE-GGA | optimized geometry; ΔE_f (raw) = -0.808 eV/atom; SG = No. 12
1.0
3.4433 -1.9884 0.0000
3.4433 1.9884 0.0000
-2.3632 0.0000 12.3872
Sm Cu Br
2 2 2
Direct
0.1010 0.1010 0.3090 Sm
0.8990 0.8990 0.6910 Sm
0.1831 0.1831 0.5474 Cu
0.8169 0.8169 0.4526 Cu
0.3810 0.3810 0.1533 Br
0.6190 0.6190 0.8467 Br

***

Entry 11:
Ba2NbRe | the Alexandria database | PBE-GGA | optimized geometry; ΔE_f = 1.638 eV per atom; SG = No. 225
1.0
0.0000 3.9306 3.9306
3.9306 0.0000 3.9306
3.9306 3.9306 0.0000
Ba Nb Re
2 1 1
Direct
0.2500 0.2500 0.2500 Ba
0.7500 0.7500 0.7500 Ba
0.0000 0.0000 0.0000 Nb
0.5000 0.5000 0.5000 Re

***

Entry 12:
Fe2AgH | the Alexandria database | PBE-GGA | optimized geometry; SG = No. 225; ΔE to the lowest computed polymorph = 62.6 kJ per mole of atoms
1.0
0.0000 2.9351 2.9351
2.9351 0.0000 2.9351
2.9351 2.9351 0.0000
Fe Ag H
2 1 1
Direct
0.2500 0.2500 0.2500 Fe
0.7500 0.7500 0.7500 Fe
0.0000 0.0000 0.0000 Ag
0.5000 0.5000 0.5000 H

***

Entry 13:
LiNdEr | the Alexandria database | PBE-GGA | optimized geometry; ΔE_f = 0.121 eV per atom; SG = No. 12; ΔE to the lowest computed polymorph = 3.6 kJ per mole of atoms
1.0
4.8043 -2.7444 0.0000
4.8043 2.7444 0.0000
-0.8053 0.0000 6.6474
Li Nd Er
2 2 2
Direct
0.1615 0.1615 0.9999 Li
0.8385 0.8385 0.0001 Li
0.1661 0.1661 0.4998 Nd
0.8339 0.8339 0.5002 Nd
0.4797 0.4797 0.2551 Er
0.5203 0.5203 0.7449 Er

***

Entry 14:
SrZrSn2Au | the Alexandria database | PBE-GGA | optimized geometry; ΔE_f = 1.102 eV per atom; SG = No. 123
1.0
5.6883 0.0000 0.0000
0.0000 5.6883 0.0000
0.0000 0.0000 5.2901
Sr Zr Sn Au
1 1 2 1
Direct
0.0000 0.0000 0.0000 Sr
0.5000 0.5000 0.5000 Zr
0.0000 0.5000 0.0000 Sn
0.5000 0.0000 0.0000 Sn
0.0000 0.0000 0.5000 Au

***

Entry 15:
AlCdP2Cl | the Alexandria database | PBE-GGA | optimized geometry; ΔE_f (raw) = 0.801 eV/atom; SG = No. 123; ΔE to the lowest computed polymorph = 55.2 kJ per mole of atoms
1.0
4.9965 0.0000 0.0000
0.0000 4.9965 0.0000
0.0000 0.0000 5.5016
Al Cd P Cl
1 1 2 1
Direct
0.0000 0.0000 0.0000 Al
0.5000 0.5000 0.5000 Cd
0.0000 0.5000 0.5000 P
0.5000 0.0000 0.5000 P
0.5000 0.5000 0.0000 Cl

***

Entry 16:
Re2MoSe | the Alexandria database | PBE-GGA | optimized geometry; ΔE_f (raw) = 0.312 eV/atom; SG = No. 71
1.0
-1.4801 2.2360 4.5921
1.4801 -2.2360 4.5921
1.4801 2.2360 -4.5921
Re Mo Se
2 1 1
Direct
0.2266 0.2266 0.0000 Re
0.7734 0.7734 0.0000 Re
0.5000 0.0000 0.5000 Mo
0.0000 0.5000 0.5000 Se

***

Entry 17:
TiVSCl2 | the Alexandria database | PBE-GGA | optimized geometry; ΔE_f (raw) = -0.186 eV/atom; SG = No. 123; ΔE to the lowest computed polymorph = 18.2 kJ per mole of atoms
1.0
4.6687 0.0000 0.0000
0.0000 4.6687 0.0000
0.0000 0.0000 4.8732
Ti V S Cl
1 1 1 2
Direct
0.0000 0.0000 0.0000 Ti
0.5000 0.5000 0.5000 V
0.5000 0.5000 0.0000 S
0.0000 0.5000 0.5000 Cl
0.5000 0.0000 0.5000 Cl

***

Entry 18:
PmPr3N | the Alexandria database | PBE-GGA | optimized geometry; ΔE_f (raw) = -0.412 eV/atom; SG = No. 221
1.0
5.2064 0.0000 0.0000
0.0000 5.2064 0.0000
0.0000 0.0000 5.2064
Pm Pr N
1 3 1
Direct
0.0000 0.0000 0.0000 Pm
0.0000 0.5000 0.5000 Pr
0.5000 0.0000 0.5000 Pr
0.5000 0.5000 0.0000 Pr
0.5000 0.5000 0.5000 N

***

Entry 19:
MgH3Pd2 | the Alexandria database | PBE-GGA | optimized geometry; SG = No. 2; ΔE to the lowest computed polymorph = 0.0 kJ per mole of atoms
1.0
3.6750 0.0000 0.0000
-1.8352 5.6180 0.0000
-1.8313 -1.6349 5.9527
Mg H Pd
2 6 4
Direct
0.1963 0.2894 0.1026 Mg
0.8037 0.7106 0.8974 Mg
0.1026 0.9437 0.2603 H
0.1879 0.6936 0.6827 H
0.4917 0.6610 0.3203 H
0.5083 0.3390 0.6797 H
0.8121 0.3064 0.3173 H
0.8974 0.0563 0.7397 H
0.0192 0.3688 0.6709 Pd
0.3919 0.0244 0.7606 Pd
0.6081 0.9756 0.2394 Pd
0.9808 0.6312 0.3291 Pd

***

Entry 20:
Ba2Tl2Sn3O10 | the Alexandria database | PBE-GGA | optimized geometry; ΔE_f (raw) = -1.504 eV/atom; SG = No. 1
1.0
3.9240 0.0000 0.0000
-0.0003 3.9636 0.0000
-0.0015 -0.0303 19.1759
Ba Tl Sn O
2 2 3 10
Direct
0.0000 0.0000 0.0000 Ba
0.4982 0.5017 0.4122 Ba
0.4988 0.5418 0.1460 Tl
0.9984 0.0425 0.2663 Tl
0.0000 0.5022 0.7052 Sn
0.5003 0.4992 0.8680 Sn
0.9984 0.0025 0.5441 Sn
0.0003 0.4995 0.8993 O
0.4984 0.0025 0.5110 O
0.4986 0.3900 0.2538 O
0.4998 0.4927 0.0375 O
0.5004 0.4998 0.7608 O
0.5003 0.9995 0.8995 O
0.9982 0.5023 0.5148 O
0.9983 0.9942 0.3748 O
0.9991 0.0028 0.6512 O
0.9990 0.8893 0.1585 O